Nb2V4Mo PBE optimized geometry; VASP energy = -9.2248 eV per atom; V = 16.71 A^3/atom; ΔE_f = 2.9 eV/f.u.; polymorph energy (0 for the lowest one) = 0.0 kJ/mol of atoms
1.0
6.6004 0.0000 0.0000
0.0000 8.2214 0.0000
0.0000 0.0000 4.3114
Nb V Mo
4 8 2
Cartesian
0.0000 1.7998 0.0000
0.0000 6.4215 0.0000
3.3002 2.3109 0.0000
3.3002 5.9105 0.0000
1.3564 4.1107 0.0000
1.6501 2.0553 2.1557
1.6501 6.1660 2.1557
1.9438 0.0000 0.0000
4.6566 0.0000 0.0000
4.9503 2.0553 2.1557
4.9503 6.1660 2.1557
5.2440 4.1107 0.0000
0.0000 4.1107 2.1557
3.3002 0.0000 2.1557

***

NbV3Mo8 PBE optimized geometry; VASP energy = -9.4754 eV per atom; V = 17.88 A^3/atom; ΔE_f = 10.4 eV/f.u.
1.0
-2.9387 2.9387 6.2105
2.9387 -2.9387 6.2105
2.9387 2.9387 -6.2105
Nb V Mo
1 3 8
Cartesian
0.0000 0.0000 0.0000
2.9387 0.0000 3.1053
0.0000 0.0000 6.2105
0.0000 2.9387 3.1053
1.5297 1.5297 -1.6105
1.4090 -1.4090 4.6000
1.5297 1.5297 1.6105
1.4090 -1.4090 7.8210
-1.4090 1.4090 4.6000
1.4090 1.4090 4.6000
-1.4090 1.4090 7.8210
1.4090 1.4090 7.8210

***

Nb8V2Mo PBE optimized geometry; VASP energy = -9.9709 eV per atom; V = 17.24 A^3/atom; ΔE_f = -0.1 eV/f.u.
1.0
7.5951 -2.3003 0.0000
7.5951 2.3003 0.0000
-0.0014 0.0000 5.4266
Nb V Mo
8 2 1
Cartesian
0.7128 0.0000 1.2766
2.1398 0.0000 3.7514
4.8177 0.0000 3.2244
6.1734 0.0000 0.2722
9.0153 0.0000 5.1544
10.3710 0.0000 2.2023
13.0490 0.0000 1.6752
14.4760 0.0000 4.1500
3.4848 0.0000 0.6873
11.7039 0.0000 4.7393
7.5944 0.0000 2.7133

***

NbV2Mo PBE optimized geometry; VASP energy = -9.8266 eV per atom; V = 15.30 A^3/atom; ΔE_f = -0.2 eV/f.u.; polymorph energy (0 for the lowest one) = 0.4 kJ/mol of atoms
1.0
3.1476 0.0000 0.0000
0.0000 4.4412 0.0000
0.0000 0.0000 8.7552
Nb V Mo
2 4 2
Cartesian
0.7869 0.0000 1.2132
2.3607 0.0000 7.5420
0.7869 0.0000 5.3258
0.7869 2.2206 3.3712
2.3607 0.0000 3.4294
2.3607 2.2206 5.3840
0.7869 2.2206 7.5885
2.3607 2.2206 1.1667

***

NbVMo2 PBE optimized geometry; VASP energy = -9.5955 eV per atom; V = 16.85 A^3/atom; ΔE_f = 2.5 eV/f.u.; polymorph energy (0 for the lowest one) = 70.5 kJ/mol of atoms
1.0
7.0665 0.0000 0.0000
0.0000 7.0665 0.0000
0.0000 0.0000 5.3980
Nb V Mo
4 4 8
Cartesian
0.0000 0.0000 0.0000
0.0000 3.5332 1.3495
3.5332 0.0000 4.0485
3.5332 3.5332 2.6990
0.0000 0.0000 2.6990
0.0000 3.5332 4.0485
3.5332 0.0000 1.3495
3.5332 3.5332 0.0000
1.6378 1.7666 3.3737
1.7666 5.1710 4.7232
1.7666 5.4287 2.0242
1.8954 1.7666 0.6747
5.1710 5.2998 0.6747
5.2998 1.6378 2.0242
5.2998 1.8954 4.7232
5.4287 5.2998 3.3737

***

Nb5V2Mo4 PBE optimized geometry; VASP energy = -9.7871 eV per atom; V = 17.18 A^3/atom; ΔE_f = 4.3 eV/f.u.; polymorph energy (0 for the lowest one) = 43.2 kJ/mol of atoms
1.0
-2.2485 4.0388 5.2035
2.2485 -4.0388 5.2035
2.2485 4.0388 -5.2035
Nb V Mo
5 2 4
Cartesian
0.0000 0.0000 0.0000
2.2485 2.6292 -2.8711
0.0000 1.4095 2.3324
2.2485 2.6292 2.8711
0.0000 1.4095 8.0747
2.2485 0.0000 1.4371
0.0000 4.0388 3.7664
2.2485 2.4095 0.0000
2.2485 0.0000 4.0081
0.0000 4.0388 1.1954
0.0000 1.6292 5.2035

***

NbV6Mo12 PBE optimized geometry; VASP energy = -10.3633 eV per atom; V = 15.19 A^3/atom; ΔE_f = -2.1 eV/f.u.
1.0
5.1726 0.0000 0.0000
-1.4051 6.6401 0.0000
-2.3632 -3.0431 8.4012
Nb V Mo
1 6 12
Cartesian
0.0000 0.0000 0.0000
-1.8783 4.0105 4.4112
0.4880 -0.2595 2.6859
1.4219 2.1544 0.8949
-0.0177 1.4426 7.5062
0.9162 3.8565 5.7152
3.2826 -0.4135 3.9900
-0.9393 1.9801 2.2342
-1.4224 -0.6640 6.6098
0.0183 4.3617 0.4515
-0.4765 1.7273 4.8631
-1.4061 3.7298 7.0453
0.4776 4.1263 3.1265
0.9267 -0.5293 5.2747
2.8103 -0.1328 1.3559
1.8808 1.8696 3.5381
1.3859 -0.7647 7.9497
2.8267 4.2610 1.7914
2.3435 1.6169 6.1669

***

Nb6V2Mo PBE optimized geometry; VASP energy = -9.8506 eV per atom; V = 17.18 A^3/atom; ΔE_f = 0.8 eV/f.u.; polymorph energy (0 for the lowest one) = 0.0 kJ/mol of atoms
1.0
2.7632 0.0000 0.0000
-1.0410 7.1027 0.0000
-0.9163 -1.4205 7.8802
Nb V Mo
6 2 1
Cartesian
-0.4049 0.7933 2.1246
-0.5395 5.3632 3.0664
-0.4438 2.3296 6.5593
1.2496 3.3526 1.3209
1.3454 0.3190 4.8138
1.2107 4.8889 5.7556
-0.0579 5.9014 0.4636
0.8638 -0.2192 7.4165
0.4029 2.8411 3.9401

***

Nb4V2Mo3 PBE optimized geometry; VASP energy = -10.1738 eV per atom; V = 16.39 A^3/atom; ΔE_f = -0.6 eV/f.u.
1.0
4.5484 0.0000 0.0000
-2.2742 3.9390 0.0000
0.0000 0.0000 8.2327
Nb V Mo
4 2 3
Cartesian
0.0000 0.0000 1.4092
0.0000 0.0000 6.8235
0.0000 2.6260 3.2067
2.2742 1.3130 5.0260
0.0000 2.6260 6.0063
2.2742 1.3130 2.2264
0.0000 0.0000 4.1163
0.0000 2.6260 0.4206
2.2742 1.3130 7.8121

***

Nb4V5Mo PBE optimized geometry; VASP energy = -9.2264 eV per atom; V = 16.78 A^3/atom; ΔE_f = 4.4 eV/f.u.
1.0
6.1022 -2.2695 0.0000
6.1022 2.2695 0.0000
-3.5939 0.0000 6.0587
Nb V Mo
4 5 1
Cartesian
-0.5682 0.0000 1.3000
1.7435 0.0000 3.5745
6.8671 0.0000 2.4842
9.1788 0.0000 4.7587
-0.6743 0.0000 4.0774
2.6894 0.0000 0.7118
6.1022 0.0000 0.0000
5.9212 0.0000 5.3469
9.2849 0.0000 1.9813
4.3053 0.0000 3.0293

***

Nb5V2Mo5 PBE optimized geometry; VASP energy = -10.3085 eV per atom; V = 16.39 A^3/atom; ΔE_f = -1.0 eV/f.u.
1.0
6.7935 -2.2532 0.0000
6.7935 2.2532 0.0000
-4.5460 0.0000 6.4230
Nb V Mo
5 2 5
Cartesian
0.0000 0.0000 0.0000
-0.7345 0.0000 2.6989
-1.5088 0.0000 5.3813
10.5497 0.0000 1.0418
9.7754 0.0000 3.7241
1.4725 0.0000 4.2968
7.5684 0.0000 2.1262
2.2243 0.0000 1.6603
5.3002 0.0000 0.5490
4.5205 0.0000 3.2115
3.7407 0.0000 5.8740
6.8167 0.0000 4.7627

***

Nb2V3Mo7 PBE optimized geometry; VASP energy = -9.9275 eV per atom; V = 17.32 A^3/atom; ΔE_f = 4.2 eV/f.u.
1.0
2.2293 -10.8994 0.0000
2.2293 10.8994 0.0000
0.0000 0.0000 4.2759
Nb V Mo
2 3 7
Cartesian
2.2293 7.6577 0.0000
2.2293 -7.6577 0.0000
2.2293 3.1409 2.1380
2.2293 0.0000 2.1380
2.2293 -3.1409 2.1380
0.0000 0.0000 0.0000
2.2293 9.3460 2.1380
2.2293 4.6413 0.0000
2.2293 1.5852 0.0000
2.2293 -1.5852 0.0000
2.2293 -4.6413 0.0000
2.2293 -9.3460 2.1380